# Li2Er3Al7

A relaxed structure of Li2Er3Al7 (PBE, Alexandria).

Geometry as POSCAR:
```
Li2Er3Al7
1.0
5.270 0.000 1.650
2.377 4.704 1.650
0.019 0.012 9.183
Li Er Al
2 3 7
Cartesian
5.083 3.127 2.247 Li
2.583 1.589 10.235 Li
0.000 0.000 0.000 Er
6.574 4.044 6.727 Er
1.092 0.672 5.755 Er
3.833 2.358 6.241 Al
5.863 1.953 4.471 Al
4.387 4.351 4.471 Al
3.175 1.953 3.629 Al
1.804 2.762 8.011 Al
4.491 2.762 8.853 Al
3.279 0.364 8.011 Al
```

Values from the calculation:
M_tot (μB/f.u.): 0.00
ΔE_f (kJ/mol of formula units): -441



# TaRh2W

A relaxed structure of TaRh2W (PBE, Alexandria).

Geometry as POSCAR:
```
TaRh2W
1.0
3.098 3.744 0.545
-2.063 3.573 2.624
0.462 -4.809 0.753
Ta Rh W
1 2 1
Cartesian
0.517 3.658 1.584 Ta
0.000 0.000 0.000 Rh
2.039 1.296 1.441 Rh
-0.542 1.211 2.481 W
```

Values from the calculation:
M_tot (μB/f.u.): 0.00
E above lowest polymorph (meV per atom): 149
ΔE_f (kJ/mol of formula units): -68



# La2Y5Tm2

A relaxed structure of La2Y5Tm2 (PBE, Alexandria).

Geometry as POSCAR:
```
La2Y5Tm2
1.0
6.162 0.088 0.882
-3.040 5.274 -1.278
1.810 -0.358 9.342
La Y Tm
2 5 2
Cartesian
1.246 4.496 5.544 La
3.687 0.508 3.403 La
0.617 2.251 2.707 Y
4.316 2.753 6.239 Y
1.210 0.948 6.075 Y
3.722 4.056 2.872 Y
0.000 0.000 0.000 Y
1.832 3.178 8.783 Tm
3.100 1.826 0.163 Tm
```

Values from the calculation:
M_tot (μB/f.u.): 0.00
E above lowest polymorph (meV per atom): 0
ΔE_f (kJ/mol of formula units): 26



# AsAuS2

A relaxed structure of AsAuS2 (PBE, Alexandria).

Geometry as POSCAR:
```
AsAuS2
1.0
5.530 0.000 0.000
0.000 5.530 0.000
2.765 2.765 6.302
As Au S
2 2 4
Cartesian
2.765 2.765 0.000 As
2.765 5.530 3.151 As
0.000 0.000 0.000 Au
5.530 2.765 3.151 Au
4.109 1.382 1.576 S
1.421 4.147 1.576 S
4.147 4.186 4.727 S
6.912 6.874 4.727 S
```

Values from the calculation:
M_tot (μB/f.u.): 0.00
DFT total energy (eV/atom): -3.864



# PmGa9Rh2

A relaxed structure of PmGa9Rh2 (PBE, Alexandria).

Geometry as POSCAR:
```
PmGa9Rh2
1.0
-1.320 -4.490 6.043
-6.079 -5.638 -0.683
4.199 -7.169 0.424
Pm Ga Rh
2 18 4
Cartesian
-0.660 -2.245 3.022 Pm
-1.270 -7.526 1.381 Pm
-1.930 -9.771 4.403 Ga
0.000 0.000 0.000 Ga
-2.753 -10.056 -0.243 Ga
0.054 -5.535 3.730 Ga
0.505 -8.231 4.242 Ga
-3.865 -9.605 2.266 Ga
-3.536 -12.153 4.119 Ga
0.494 -4.606 0.940 Ga
-4.280 -7.810 -0.067 Ga
1.898 -6.704 2.104 Ga
-1.058 -12.523 4.386 Ga
-1.985 -4.236 0.673 Ga
1.763 -8.710 0.585 Ga
-4.145 -5.804 1.453 Ga
-0.275 -10.425 0.024 Ga
-2.424 -5.166 3.463 Ga
-3.729 -7.600 3.786 Ga
0.370 -10.236 2.723 Ga
0.474 -10.715 5.435 Rh
-4.665 -9.950 4.881 Rh
-1.625 -7.131 5.223 Rh
-1.906 -11.289 2.072 Rh
```

Values from the calculation:
M_tot (μB/f.u.): 0.00
ΔE_f (kJ/mol of formula units): -454